[1]
Computed, not measured: crystalline NaCoCuP2 at its relaxed geometry at the PBE level of DFT.

Summary:
Magnetic moment = 0.5 μB/f.u.
E_tot = -49.2 eV for the cell shown

Unit cell a=3.8498 b=3.8498 c=9.4096 alpha=90.00 beta=90.00 gamma=90.00
Closest atoms and distances in Å follow each position.
Space group I-4m2 (No. 119)
Unique sites:
Na: 0.0000 0.0000 0.0000 x2  8 P 2.95, 4 Co 3.04, 4 Cu 3.04
Co: 0.0000 0.5000 0.2500 x2  4 P 2.28
Cu: 0.0000 0.5000 0.7500 x2  4 P 2.28
P: 0.0000 0.0000 0.3806 x4  1 P 2.25, 2 Co 2.28, 2 Cu 2.28


[2]
Computed, not measured: crystalline NaCoCuSe2S at its relaxed geometry at the PBE level of DFT.

Summary:
Magnetic moment = 0.3 μB/f.u.
E_tot = -101.5 eV for the cell shown

Unit cell a=3.5363 b=13.2068 c=9.3726 alpha=90.00 beta=90.00 gamma=90.00
Closest atoms and distances in Å follow each position.
Space group Cmcm (No. 63)
Unique sites:
Na: 0.0000 0.2476 0.2500 x4  2 S 2.99, 6 Se 3.07-3.20, 2 Cu 3.31
Co: 0.0000 0.5000 0.0000 x4  4 Se 2.44, 2 S 2.49
Cu: 0.0000 0.0408 0.7500 x4  2 S 2.25, 2 Se 2.35
Se: 0.0000 0.1255 0.5292 x8  1 Cu 2.35, 2 Co 2.44
S: 0.0000 0.4352 0.7500 x4  2 Cu 2.25, 2 Co 2.49


Q: Which formula does entry 1 have?
A: NaCoCuP2


What did the first record say?
Computed, not measured: crystalline NaCoCuP2 at its relaxed geometry at the PBE level of DFT.

Summary:
Magnetic moment = 0.5 μB/f.u.
E_tot = -49.2 eV for the cell shown

Unit cell a=3.8498 b=3.8498 c=9.4096 alpha=90.00 beta=90.00 gamma=90.00
Closest atoms and distances in Å follow each position.
Space group I-4m2 (No. 119)
Unique sites:
Na: 0.0000 0.0000 0.0000 x2  8 P 2.95, 4 Co 3.04, 4 Cu 3.04
Co: 0.0000 0.5000 0.2500 x2  4 P 2.28
Cu: 0.0000 0.5000 0.7500 x2  4 P 2.28
P: 0.0000 0.0000 0.3806 x4  1 P 2.25, 2 Co 2.28, 2 Cu 2.28